(1)
AcNbB2O8 | GGA-PBE | optimized geometry

a = 8.2609 Å, b = 5.1207 Å, c = 7.3157 Å
α = 90.00°, β = 91.20°, γ = 90.00°
With the nearest neighbours (Å) after each atom.
Space group C2/m (No. 12)
Asymmetric unit:
Ac  0.0000  0.0000  0.0000 (multiplicity 2)  6 O 2.60-2.61
Nb  0.0000  0.0000  0.5000 (multiplicity 2)  6 O 1.94-2.02
B  0.1439  0.5000  0.2703 (multiplicity 4)  4 O 1.45-1.47
O  0.0470  0.2638  0.3019 (multiplicity 8)  1 B 1.47
O  0.1943  0.5000  0.0792 (multiplicity 4)  1 B 1.47
O  0.2185  0.0000  0.6029 (multiplicity 4)  1 B 1.45

Computed properties:
Formation energy without anion corrections   -28.09 eV per formula unit
Spin magnetization   4.04 μB/cell

---

(2)
AcNdB | GGA-PBE | optimized geometry

a = 14.2662 Å, b = 3.3658 Å, c = 7.1807 Å
α = 90.00°, β = 90.27°, γ = 90.00°
With the nearest neighbours (Å) after each atom.
Space group C2/m (No. 12)
Asymmetric unit:
Ac  0.1569  0.0000  0.3216 (multiplicity 4)  3 B 2.84-3.03
Nd  0.1003  0.0000  0.8355 (multiplicity 4)  3 B 2.65-2.79
B  0.2318  0.5000  0.0049 (multiplicity 4)  2 B 1.76

Computed properties:
Energy relative to the elements   0.05 eV/atom
Spin magnetization   0.00 μB/cell

---

(3)
AcNiB | GGA-PBE | optimized geometry

a = 3.7845 Å, b = 3.7845 Å, c = 4.3816 Å
α = 90.00°, β = 90.00°, γ = 120.00°
With the nearest neighbours (Å) after each atom.
Space group P-6m2 (No. 187)
Asymmetric unit:
Ac  0.0000  0.0000  0.0000 (multiplicity 1)  6 B 3.09, 6 Ni 3.09
Ni  0.6667  0.3333  0.5000 (multiplicity 1)  3 B 2.19
B  0.3333  0.6667  0.5000 (multiplicity 1)  3 Ni 2.19

Computed properties:
Energy relative to the elements   -0.06 eV/atom
Energy above the most stable polymorph in this dataset   133.8 meV per atom
Spin magnetization   0.00 μB/cell